# 1
Entry from the Alexandria database: a relaxed structure of Mo3PtN (GGA-PBE).

Output
As for the offset from the most stable computed form: 3147.6 meV per atom. The value obtained for the formation energy from raw total energies is 14.36 eV/f.u. Its total energy is -6.50 eV/atom.

POSCAR file:
```
Mo3PtN
1.0
4.766 0.000 0.000
0.000 4.766 0.000
0.000 0.000 4.766
Mo Pt N
3 1 1
direct
0.000 0.500 0.000
0.000 0.000 0.500
0.500 0.000 0.000
0.000 0.000 0.000
0.500 0.500 0.500
```


# 2
Entry from the Alexandria database: a relaxed structure of Mo6PtN (GGA-PBE).

Output
The value obtained for the formation energy from raw total energies is 0.35 eV/f.u. Its total energy is -9.88 eV/atom.

POSCAR file:
```
Mo6PtN
1.0
4.719 0.666 -1.081
2.870 5.624 -1.140
1.689 1.602 4.305
Mo Pt N
6 1 1
direct
0.099 0.314 0.751
0.797 0.945 0.680
0.528 0.269 0.099
0.203 0.055 0.320
0.901 0.686 0.249
0.472 0.731 0.901
0.500 0.500 0.500
0.000 0.000 0.000
```


# 3
Entry from the Alexandria database: a relaxed structure of Mo10Pt6N (GGA-PBE).

Output
The value obtained for the formation energy from raw total energies is -2.90 eV/f.u. Its total energy is -9.16 eV/atom.

POSCAR file:
```
Mo10Pt6N
1.0
-0.173 -4.884 0.219
2.009 -0.412 -7.599
5.581 0.051 5.549
Mo Pt N
10 6 1
direct
0.768 0.784 0.784
0.768 0.000 0.216
0.768 0.216 0.000
0.232 0.216 0.216
0.232 0.000 0.784
0.232 0.784 0.000
0.500 0.333 0.667
0.500 0.667 0.333
0.000 0.667 0.333
0.000 0.333 0.667
0.747 0.407 0.407
0.747 0.000 0.593
0.747 0.593 0.000
0.253 0.593 0.593
0.253 0.000 0.407
0.253 0.407 0.000
0.500 0.000 0.000
```


# 4
Entry from the Alexandria database: a relaxed structure of MoPtN (GGA-PBE).

Output
The value obtained for the formation energy from raw total energies is -0.14 eV/f.u. Its total energy is -8.45 eV/atom.

POSCAR file:
```
MoPtN
1.0
2.800 0.000 0.000
0.000 5.008 0.000
0.000 0.000 11.748
Pt Mo N
4 4 4
direct
0.750 0.258 0.508
0.250 0.242 0.008
0.250 0.742 0.492
0.750 0.758 0.992
0.750 0.032 0.312
0.250 0.468 0.812
0.250 0.968 0.688
0.750 0.532 0.188
0.750 0.765 0.780
0.250 0.735 0.280
0.250 0.235 0.220
0.750 0.265 0.720
```


# 5
Entry from the Alexandria database: a relaxed structure of MoPt3N (GGA-PBE).

Output
As for the offset from the most stable computed form: 0.0 meV per atom. The value obtained for the formation energy from raw total energies is 3.76 eV/f.u. Its total energy is -6.70 eV/atom.

POSCAR file:
```
MoPt3N
1.0
-1.683 2.564 -2.887
-0.708 -3.301 -2.518
-3.795 -0.521 1.750
Mo Pt N
1 3 1
direct
0.500 0.500 0.500
0.000 0.500 0.000
0.000 0.000 0.500
0.500 0.000 0.000
0.000 0.000 0.000
```


# 6
Entry from the Alexandria database: a relaxed structure of ReMo2PtN (GGA-PBE).

Output
The value obtained for the formation energy from raw total energies is -0.74 eV/f.u. Its total energy is -9.84 eV/atom.

POSCAR file:
```
ReMo2PtN
1.0
-2.227 1.199 3.239
-2.814 -2.864 -0.874
1.976 -2.657 2.342
Re Mo Pt N
1 2 1 1
direct
0.000 0.000 0.500
0.000 0.500 0.000
0.500 0.000 0.000
0.500 0.500 0.500
0.000 0.000 0.000
```


# 7
Entry from the Alexandria database: a relaxed structure of Mo2PtRhN (GGA-PBE).

Output
As for the offset from the most stable computed form: 0.0 meV per atom. The value obtained for the formation energy from raw total energies is -0.82 eV/f.u. Its total energy is -8.84 eV/atom.

POSCAR file:
```
Mo2PtRhN
1.0
4.063 0.000 0.000
0.000 4.063 0.000
0.000 0.000 4.157
Mo Rh Pt N
2 1 1 1
direct
0.000 0.500 0.000
0.500 0.000 0.000
0.000 0.000 0.500
0.500 0.500 0.500
0.000 0.000 0.000
```


# 8
Entry from the Alexandria database: a relaxed structure of Mo2PtRhN (GGA-PBE).

Output
As for the offset from the most stable computed form: 177.2 meV per atom. The value obtained for the formation energy from raw total energies is 0.06 eV/f.u. Its total energy is -8.66 eV/atom.

POSCAR file:
```
Mo2PtRhN
1.0
4.050 0.000 0.000
0.000 4.234 0.000
0.000 0.000 4.050
Mo Rh Pt N
2 1 1 1
direct
0.000 0.000 0.500
0.500 0.000 0.000
0.500 0.500 0.500
0.000 0.500 0.000
0.000 0.000 0.000
```


# 9
Entry from the Alexandria database: a relaxed structure of MoRu2PtN (GGA-PBE).

Output
The value obtained for the formation energy from raw total energies is 0.08 eV/f.u. Its total energy is -8.73 eV/atom.

POSCAR file:
```
MoRu2PtN
1.0
-3.746 -0.177 -1.501
-1.308 -1.631 3.456
-0.765 3.728 1.470
Ru Mo Pt N
2 1 1 1
direct
0.000 0.500 0.000
0.500 0.000 0.000
0.000 0.000 0.500
0.500 0.500 0.500
0.000 0.000 0.000
```


# 10
Entry from the Alexandria database: a relaxed structure of MoPtS2N (GGA-PBE).

Output
As for the offset from the most stable computed form: 0.0 meV per atom. The value obtained for the formation energy from raw total energies is 3.02 eV/f.u. Its total energy is -6.09 eV/atom.

POSCAR file:
```
MoPtS2N
1.0
-3.922 -2.623 -0.800
1.413 -3.130 3.333
-1.836 1.949 2.610
Mo S Pt N
1 2 1 1
direct
0.000 0.000 0.000
0.000 0.500 0.000
0.500 0.000 0.000
0.500 0.500 0.500
0.000 0.000 0.500
```


# 11
Entry from the Alexandria database: a relaxed structure of MoPtS2N (GGA-PBE).

Output
As for the offset from the most stable computed form: 387.6 meV per atom. The value obtained for the formation energy from raw total energies is 4.95 eV/f.u. Its total energy is -5.70 eV/atom.

POSCAR file:
```
MoPtS2N
1.0
-4.742 -1.316 0.161
0.901 -2.760 3.978
-0.724 2.872 2.157
Mo S Pt N
1 2 1 1
direct
0.500 0.500 0.500
0.000 0.500 0.000
0.500 0.000 0.000
0.000 0.000 0.000
0.000 0.000 0.500
```


# 12
Entry from the Alexandria database: a relaxed structure of MoPtSeN2 (GGA-PBE).

Output
As for the offset from the most stable computed form: 0.0 meV per atom. The value obtained for the formation energy from raw total energies is 3.46 eV/f.u. Its total energy is -6.71 eV/atom.

POSCAR file:
```
MoPtSeN2
1.0
3.838 0.000 0.000
0.000 3.838 0.000
0.000 0.000 5.519
Mo Se Pt N
1 1 1 2
direct
0.000 0.000 0.000
0.000 0.000 0.500
0.500 0.500 0.500
0.000 0.500 0.000
0.500 0.000 0.000
```